1.
KSn3Ru: optimized geometry, GGA-PBEsol.

As for the crystal system: cubic. For the density of states at the Fermi level, the calculation gives 1.54 states/eV/atom. As for the space group: Pm-3m. As for the energy: -4.71 eV/atom.

```
5
Lattice="5.144 0.000 0.000 0.000 5.144 0.000 0.000 0.000 5.144" Properties=species:S:1:pos:R:3 pbc="T T T"
K 2.572 2.572 2.572
Sn 0.000 2.572 0.000
Sn 2.572 0.000 0.000
Sn 0.000 0.000 2.572
Ru 0.000 0.000 0.000
```


2.
KAuSe: optimized geometry, GGA-PBEsol.

As for the crystal system: hexagonal. For the density of states at the Fermi level, the calculation gives 0.07 states/eV/atom. As for the space group: P-6m2. Its raw formation energy is -1.923 eV per formula unit.

```
3
Lattice="4.415 0.000 0.000 -2.207 3.823 0.000 0.000 0.000 4.746" Properties=species:S:1:pos:R:3 pbc="T T T"
Au 0.000 0.000 2.373
Se 2.207 1.274 2.373
K 0.000 2.549 0.000
```


3.
TlRu2Se2: optimized geometry, GGA-PBEsol.

As for the crystal system: tetragonal. For the density of states at the Fermi level, the calculation gives 0.23 states/eV/atom. As for the space group: I4/mmm. Its raw formation energy is -0.830 eV per formula unit.

```
5
Lattice="-1.603 1.656 3.308 -3.698 -0.619 -1.482 2.494 -6.182 1.845" Properties=species:S:1:pos:R:3 pbc="T T T"
Ru -1.927 -3.141 0.638
Ru -0.880 -2.004 3.033
Se -0.111 -4.019 1.957
Se -2.696 -1.127 1.714
Tl 0.000 0.000 0.000
```


4.
SrMgGaRh2: optimized geometry, GGA-PBEsol.

As for the crystal system: tetragonal. For the density of states at the Fermi level, the calculation gives 0.49 states/eV/atom. As for the space group: P4/mmm. As for the energy: -3.14 eV/atom.

```
5
Lattice="-3.795 -0.850 -2.905 -2.512 -1.716 3.783 -1.920 5.073 1.026" Properties=species:S:1:pos:R:3 pbc="T T T"
Sr 0.000 0.000 0.000
Rh -1.256 -0.858 1.892
Rh -1.898 -0.425 -1.453
Mg -0.960 2.536 0.513
Ga -4.114 1.254 0.952
```